A geometry-optimized Co2NiIr structure, computed with GGA-PBEsol.

Calculated values
calculated volume: 11.639 Å³ per atom
space-group type: R3m
DOS(E_F): 1.465 states/eV per atom
formation energy from the elements: 87 meV/atom
calculated total energy: -7.78 eV/atom

Cell: 8.2517 8.2517 8.2517 Å, 17.94 17.94 17.94°
Closest atoms and distances in Å follow each position.
Element x y z (fractional)
1 Co 0.0000 0.0000 0.0000  9 Co 2.42-2.57, 3 Ir 2.58
2 Co 0.2548 0.2548 0.2548  9 Co 2.42-2.57, 3 Ni 2.46
3 Ni 0.5078 0.5078 0.5078  3 Co 2.46, 6 Ni 2.57, 3 Ir 2.60
4 Ir 0.7535 0.7535 0.7535  6 Ir 2.57, 3 Co 2.58, 3 Ni 2.60

=====

A geometry-optimized Co2NiIr structure, computed with GGA-PBEsol.

Calculated values
calculated volume: 11.446 Å³ per atom
space-group type: P4mm
DOS(E_F): 1.321 states/eV per atom
formation energy from the elements: 72 meV/atom
calculated total energy: -7.79 eV/atom

Cell: 2.5702 2.5702 6.9310 Å, 90.00 90.00 90.00°
Closest atoms and distances in Å follow each position.
Element x y z (fractional)
1 Co 0.0000 0.0000 0.0000  8 Co 2.43-2.57, 4 Ni 2.47
2 Co 0.5000 0.5000 0.2318  8 Co 2.43-2.57, 4 Ir 2.57
3 Ni 0.5000 0.5000 0.7595  4 Co 2.47, 4 Ni 2.57, 4 Ir 2.59
4 Ir 0.0000 0.0000 0.4931  4 Co 2.57, 4 Ir 2.57, 4 Ni 2.59

=====

A geometry-optimized CoNiIr structure, computed with GGA-PBEsol.

Calculated values
calculated volume: 11.619 Å³ per atom
space-group type: Imm2
DOS(E_F): 1.626 states/eV per atom
formation energy from the elements: 36 meV/atom
calculated total energy: -7.87 eV/atom
relative energy among the computed polymorphs: 0.0 meV/atom

Cell: 4.3860 4.3860 4.3860 Å, 145.54 132.52 59.97°
Closest atoms and distances in Å follow each position.
Element x y z (fractional)
1 Co 0.0000 0.0000 0.0000  5 Ir 2.53-2.54, 5 Ni 2.53-2.54, 2 Co 2.60
2 Ni 0.3347 0.3347 0.0000  5 Ir 2.51-2.54, 5 Co 2.53-2.54, 2 Ni 2.60
3 Ir 0.6652 0.6652 0.0000  5 Ni 2.51-2.54, 5 Co 2.53-2.54, 2 Ir 2.60

=====

A geometry-optimized Co2NiIr structure, computed with GGA-PBEsol.

Calculated values
calculated volume: 11.369 Å³ per atom
space-group type: I-4m2
DOS(E_F): 1.690 states/eV per atom
formation energy from the elements: 46 meV/atom
calculated total energy: -7.82 eV/atom

Cell: 4.3660 4.3660 4.3660 Å, 131.68 131.68 70.74°
Closest atoms and distances in Å follow each position.
Element x y z (fractional)
1 Co 0.0000 0.0000 0.0000  4 Co 2.52, 4 Ir 2.52, 4 Ni 2.53
2 Co 0.7500 0.2500 0.5000  4 Ni 2.52, 4 Co 2.52, 4 Ir 2.53
3 Ni 0.5000 0.5000 0.0000  8 Co 2.52-2.53, 4 Ir 2.52
4 Ir 0.2500 0.7500 0.5000  4 Ni 2.52, 8 Co 2.52-2.53

=====

A geometry-optimized CoNi2Ir structure, computed with GGA-PBEsol.

Calculated values
calculated volume: 11.338 Å³ per atom
space-group type: Pmm2
DOS(E_F): 1.506 states/eV per atom
formation energy from the elements: 34 meV/atom
calculated total energy: -7.43 eV/atom
relative energy among the computed polymorphs: 12.1 meV/atom

Cell: 2.5681 3.5220 5.0142 Å, 90.00 90.00 90.00°
Closest atoms and distances in Å follow each position.
Element x y z (fractional)
1 Co 0.0000 0.0000 0.0000  6 Ni 2.46-2.56, 4 Ir 2.51, 2 Co 2.57
2 Ni 0.0000 0.0000 0.5102  2 Co 2.46-2.56, 6 Ni 2.49-2.57, 4 Ir 2.55
3 Ni 0.5000 0.5000 0.7503  6 Ni 2.49-2.57, 2 Ir 2.50-2.52, 4 Co 2.51
4 Ir 0.5000 0.5000 0.2480  6 Ni 2.50-2.55, 4 Co 2.51, 2 Ir 2.57

=====

A geometry-optimized Co2NiIr structure, computed with GGA-PBEsol.

Calculated values
calculated volume: 11.302 Å³ per atom
space-group type: Pmmm
DOS(E_F): 1.595 states/eV per atom
formation energy from the elements: 52 meV/atom
calculated total energy: -7.81 eV/atom

Cell: 2.5596 3.5196 5.0180 Å, 90.00 90.00 90.00°
Closest atoms and distances in Å follow each position.
Element x y z (fractional)
1 Co 0.0000 0.0000 0.2418  4 Co 2.43-2.59, 4 Ni 2.49, 4 Ir 2.53
2 Co 0.0000 0.0000 0.7582  4 Co 2.43-2.59, 4 Ni 2.49, 4 Ir 2.53
3 Ni 0.5000 0.5000 0.0000  8 Co 2.49, 2 Ir 2.51, 2 Ni 2.56
4 Ir 0.5000 0.5000 0.5000  2 Ni 2.51, 8 Co 2.53, 2 Ir 2.56

=====

A geometry-optimized Co2NiIr structure, computed with GGA-PBEsol.

Calculated values
calculated volume: 11.475 Å³ per atom
space-group type: C2/m
DOS(E_F): 1.455 states/eV per atom
formation energy from the elements: 49 meV/atom
calculated total energy: -7.81 eV/atom

Cell: 4.3807 4.3807 4.3452 Å, 100.09 100.09 34.05°
Closest atoms and distances in Å follow each position.
Element x y z (fractional)
1 Co 0.2499 0.2499 0.2430  6 Co 2.47-2.58, 3 Ni 2.51-2.52, 3 Ir 2.53-2.55
2 Co 0.7501 0.7501 0.7570  6 Co 2.47-2.58, 3 Ni 2.51-2.52, 3 Ir 2.53-2.55
3 Ni 0.5000 0.5000 0.0000  6 Co 2.51-2.52, 4 Ir 2.52, 2 Ni 2.57
4 Ir 0.0000 0.0000 0.5000  4 Ni 2.52, 6 Co 2.53-2.55, 2 Ir 2.57

=====

A geometry-optimized Co2NiIr structure, computed with GGA-PBEsol.

Calculated values
calculated volume: 11.496 Å³ per atom
space-group type: P2/m
DOS(E_F): 1.321 states/eV per atom
formation energy from the elements: 41 meV/atom
calculated total energy: -7.82 eV/atom

Cell: 4.3546 2.5591 4.3667 Å, 90.00 109.10 90.00°
Closest atoms and distances in Å follow each position.
Element x y z (fractional)
1 Co 0.0000 0.0000 0.0000  6 Co 2.53-2.56, 2 Ir 2.53, 4 Ni 2.53
2 Co 0.5000 0.5000 0.0000  6 Co 2.53-2.56, 2 Ni 2.53, 4 Ir 2.53
3 Ni 0.0000 0.5000 0.5000  4 Ir 2.53, 6 Co 2.53, 2 Ni 2.56
4 Ir 0.5000 0.0000 0.5000  4 Ni 2.53, 6 Co 2.53, 2 Ir 2.56

=====

A geometry-optimized Co2NiIr structure, computed with GGA-PBEsol.

Calculated values
calculated volume: 11.053 Å³ per atom
space-group type: I4/mmm
DOS(E_F): 1.456 states/eV per atom
formation energy from the elements: 29 meV/atom
calculated total energy: -7.83 eV/atom

Cell: 4.3409 4.3409 4.3409 Å, 132.05 132.05 70.15°
Closest atoms and distances in Å follow each position.
Element x y z (fractional)
1 Co 0.2500 0.7500 0.5000  4 Co 2.49, 4 Ir 2.50, 4 Ni 2.50
2 Co 0.7500 0.2500 0.5000  4 Co 2.49, 4 Ir 2.50, 4 Ni 2.50
3 Ni 0.0000 0.0000 0.0000  4 Ir 2.49, 8 Co 2.50
4 Ir 0.5000 0.5000 0.0000  4 Ni 2.49, 8 Co 2.50

=====

A geometry-optimized CoNiIr structure, computed with GGA-PBEsol.

Calculated values
calculated volume: 11.969 Å³ per atom
space-group type: P3m1
DOS(E_F): 1.501 states/eV per atom
formation energy from the elements: 80 meV/atom
calculated total energy: -7.83 eV/atom
relative energy among the computed polymorphs: 43.6 meV/atom

Cell: 2.5988 2.5988 6.1390 Å, 90.00 90.00 120.00°
Closest atoms and distances in Å follow each position.
Element x y z (fractional)
1 Co 0.0000 0.0000 0.0000  3 Ni 2.44, 3 Ir 2.56, 6 Co 2.60
2 Ni 0.6667 0.3333 0.3142  3 Co 2.44, 6 Ni 2.60, 3 Ir 2.61
3 Ir 0.3333 0.6667 0.6614  3 Co 2.56, 6 Ir 2.60, 3 Ni 2.61

=====

A geometry-optimized Co2NiIr structure, computed with GGA-PBEsol.

Calculated values
calculated volume: 11.385 Å³ per atom
space-group type: Pmm2
DOS(E_F): 1.487 states/eV per atom
formation energy from the elements: 57 meV/atom
calculated total energy: -7.81 eV/atom

Cell: 2.5548 3.5373 5.0391 Å, 90.00 90.00 90.00°
Closest atoms and distances in Å follow each position.
Element x y z (fractional)
1 Co 0.0000 0.0000 0.0000  4 Ni 2.49, 6 Co 2.50-2.55, 2 Ir 2.50-2.54
2 Co 0.5000 0.5000 0.2410  2 Ni 2.42-2.61, 6 Co 2.50-2.55, 4 Ir 2.53
3 Ni 0.5000 0.5000 0.7599  6 Co 2.42-2.61, 4 Ir 2.55, 2 Ni 2.55
4 Ir 0.0000 0.0000 0.4967  6 Co 2.50-2.54, 4 Ni 2.55, 2 Ir 2.55

=====

A geometry-optimized CoIrPt2O structure, computed with GGA-PBEsol.

Calculated values
calculated volume: 13.117 Å³ per atom
space-group type: P4/mmm
DOS(E_F): 1.272 states/eV per atom
calculated total energy: -6.84 eV/atom
raw formation energy: 0.50 eV/atom

Cell: 4.2521 4.2521 3.6276 Å, 90.00 90.00 90.00°
Closest atoms and distances in Å follow each position.
Element x y z (fractional)
1 Co 0.0000 0.0000 0.0000  2 O 1.81
2 Ir 0.5000 0.5000 0.0000  8 Pt 2.79, 4 Co 3.01
3 Pt 0.0000 0.5000 0.5000  2 O 2.13
4 Pt 0.5000 0.0000 0.5000  2 O 2.13
5 O 0.0000 0.0000 0.5000  2 Co 1.81

=====

A geometry-optimized Sr4CoIr3O12 structure, computed with GGA-PBEsol.

Calculated values
calculated volume: 12.013 Å³ per atom
space-group type: P-1
DOS(E_F): 0.651 states/eV per atom
calculated total energy: -7.05 eV/atom
raw formation energy: -1.67 eV/atom

Cell: 5.5050 5.5700 7.8363 Å, 89.76 89.15 89.85°
Closest atoms and distances in Å follow each position.
Element x y z (fractional)
1 Sr 0.0120 0.0098 0.2646  5 O 2.43-2.62
2 Sr 0.4869 0.4943 0.7381  6 O 2.45-2.73
3 Sr 0.5131 0.5057 0.2619  6 O 2.45-2.73
4 Sr 0.9880 0.9902 0.7354  5 O 2.43-2.62
5 Co 0.0000 0.5000 0.5000  6 O 1.97-2.00
6 Ir 0.0000 0.5000 0.0000  6 O 1.95-2.02
7 Ir 0.5000 0.0000 0.0000  6 O 2.00-2.03
8 Ir 0.5000 0.0000 0.5000  6 O 1.96-2.00
9 O 0.0060 0.4571 0.2472  1 Ir 1.95, 1 Co 2.00
10 O 0.1922 0.1939 0.9662  2 Ir 2.02-2.03
11 O 0.2461 0.2463 0.5287  1 Ir 1.97, 1 Co 1.97
12 O 0.2525 0.7496 0.4841  1 Ir 1.96, 1 Co 1.97
13 O 0.3096 0.6913 0.0177  2 Ir 2.02
14 O 0.4673 0.0669 0.2500  2 Ir 2.00
15 O 0.5327 0.9331 0.7500  2 Ir 2.00
16 O 0.6904 0.3087 0.9823  2 Ir 2.02
17 O 0.7475 0.2504 0.5159  1 Ir 1.96, 1 Co 1.97
18 O 0.7539 0.7537 0.4713  1 Ir 1.97, 1 Co 1.97
19 O 0.8078 0.8061 0.0338  2 Ir 2.02-2.03
20 O 0.9940 0.5429 0.7528  1 Ir 1.95, 1 Co 2.00

=====

A geometry-optimized Co2IrOs structure, computed with GGA-PBEsol.

Calculated values
calculated volume: 12.801 Å³ per atom
space-group type: Pmmm
DOS(E_F): 1.826 states/eV per atom
formation energy from the elements: 409 meV/atom
calculated total energy: -8.97 eV/atom
relative energy among the computed polymorphs: 364.8 meV/atom

Cell: 2.6661 4.2928 4.4741 Å, 90.00 90.00 90.00°
Closest atoms and distances in Å follow each position.
Element x y z (fractional)
1 Co 0.0000 0.0000 0.0000  4 Os 2.53, 6 Co 2.60-2.67
2 Co 0.5000 0.0000 0.5000  4 Ir 2.53, 6 Co 2.60-2.67
3 Ir 0.0000 0.5000 0.5000  4 Co 2.53, 4 Os 2.60, 2 Ir 2.67
4 Os 0.5000 0.5000 0.0000  4 Co 2.53, 4 Ir 2.60, 2 Os 2.67

=====

A geometry-optimized Co2IrOs structure, computed with GGA-PBEsol.

Calculated values
calculated volume: 12.337 Å³ per atom
space-group type: R-3m
DOS(E_F): 1.288 states/eV per atom
formation energy from the elements: 117 meV/atom
calculated total energy: -9.26 eV/atom
relative energy among the computed polymorphs: 72.9 meV/atom

Cell: 8.4159 8.4159 8.4159 Å, 17.93 17.93 17.93°
Closest atoms and distances in Å follow each position.
Element x y z (fractional)
1 Co 0.2494 0.2494 0.2494  3 Os 2.55, 3 Ir 2.58, 6 Co 2.62
2 Co 0.7506 0.7506 0.7506  3 Os 2.55, 3 Ir 2.58, 6 Co 2.62
3 Ir 0.0000 0.0000 0.0000  6 Co 2.58, 6 Ir 2.62
4 Os 0.5000 0.5000 0.5000  6 Co 2.55, 6 Os 2.62